Hf4PbC after structural relaxation. Source: Alexandria, functional PBE.

Cell: 5.6290 7.1209 7.5710 Å, 111.99 104.50 104.95°
Element x y z (fractional)
Pb (0.6490, 0.3990, 0.7980)
Pb (0.3510, 0.6010, 0.2020)
Hf (0.2815, 0.9361, 0.5904)
Hf (0.9359, 0.1305, 0.8876)
Hf (0.1911, 0.3457, 0.4096)
Hf (0.8089, 0.6543, 0.5904)
Hf (0.7185, 0.0639, 0.4096)
Hf (0.0641, 0.8695, 0.1124)
Hf (0.4517, 0.7571, 0.8876)
Hf (0.5483, 0.2429, 0.1124)
C (0.1840, 0.9340, 0.8680)
C (0.8160, 0.0660, 0.1320)

## Properties
For the total energy, the calculation gives -107.6 eV/cell. As for the space group: C2/c, No. 15. Its energy above the lowest structure with this stoichiometry is 0.048 eV/atom.


V2CrP4 after structural relaxation. Source: Alexandria, functional PBE.

Cell: 4.4014 4.4014 6.6205 Å, 70.59 70.59 90.00°
Last column: magnetic moment on the atom in μB.
Element x y z (fractional)
V (0.6010, 0.6010, 0.7981)  -0.13
V (0.3990, 0.3990, 0.2019)  -0.13
P (0.7971, 0.7971, 0.4059)  0.00
P (0.5000, 0.0000, 0.0000)  0.01
P (0.2029, 0.2029, 0.5941)  0.00
P (0.0000, 0.5000, 0.0000)  0.01
Cr (0.0000, 0.0000, 0.0000)  0.52

## Properties
For the total energy, the calculation gives -47.8 eV/cell. As for the space group: I4/mmm, No. 139.


Zr3CdH after structural relaxation. Source: Alexandria, functional PBE.

Cell: 6.2321 5.6420 5.6420 Å, 66.79 90.00 90.00°
Element x y z (fractional)
Zr (0.1253, 0.1268, 0.9661)
Zr (0.6159, 0.6267, 0.4662)
Zr (0.6159, 0.1267, 0.9662)
Zr (0.3706, 0.6268, 0.9661)
Zr (0.1253, 0.6268, 0.4661)
Zr (0.8706, 0.1268, 0.4661)
H (0.8707, 0.9095, 0.2489)
H (0.8706, 0.3440, 0.6834)
Cd (0.3705, 0.1268, 0.4661)
Cd (0.8705, 0.6268, 0.9661)

## Properties
For the total energy, the calculation gives -62.0 eV/cell. As for the space group: Cmmm, No. 65. Its energy above the lowest structure with this stoichiometry is 0.024 eV/atom.


TlCoBrCl2 after structural relaxation. Source: Alexandria, functional PBE.

Cell: 4.8367 4.8367 5.3169 Å, 90.00 90.00 90.00°
Last column: magnetic moment on the atom in μB.
Element x y z (fractional)
Tl (0.5000, 0.5000, 0.5000)  0.01
Co (0.0000, 0.0000, 0.0000)  2.41
Cl (0.5000, 0.0000, 0.0000)  0.10
Cl (0.0000, 0.5000, 0.0000)  0.10
Br (0.0000, 0.0000, 0.5000)  0.08

## Properties
The value obtained for the raw formation energy is -0.560 eV per atom. For the total energy, the calculation gives -17.6 eV/cell. As for the space group: P4/mmm, No. 123.


HfScNb2N4 after structural relaxation. Source: Alexandria, functional PBE.

Cell: 3.1553 5.4668 5.5167 Å, 109.33 90.00 90.00°
Element x y z (fractional)
N (0.0000, 0.2509, 0.7562)
N (0.5000, 0.7534, 0.7579)
N (0.5000, 0.2466, 0.2421)
N (0.0000, 0.7491, 0.2438)
Nb (0.5000, 0.0000, 0.5000)
Nb (0.0000, 0.5000, 0.5000)
Sc (0.5000, 0.5000, 0.0000)
Hf (0.0000, 0.0000, 0.0000)

## Properties
The value obtained for the raw formation energy is -1.451 eV per atom. For the total energy, the calculation gives -81.3 eV/cell. As for the space group: P2/m, No. 10.


TaIrBr3 after structural relaxation. Source: Alexandria, functional PBE.

Cell: 5.0383 5.0383 5.0383 Å, 90.00 90.00 90.00°
Last column: magnetic moment on the atom in μB.
Element x y z (fractional)
Br (0.5000, 0.0000, 0.0000)  -0.05
Br (0.0000, 0.5000, 0.0000)  -0.05
Br (0.0000, 0.0000, 0.5000)  -0.01
Ta (0.5000, 0.5000, 0.5000)  2.29
Ir (0.0000, 0.0000, 0.0000)  -0.17

## Properties
The value obtained for the raw formation energy is 1.195 eV per atom. For the total energy, the calculation gives -19.8 eV/cell. As for the space group: Pm-3m, No. 221. Its energy above the lowest structure with this stoichiometry is 0.045 eV/atom.


Ti6IrPt5 after structural relaxation. Source: Alexandria, functional PBE.

Cell: 4.7699 5.6795 7.4175 Å, 67.45 87.54 89.99°
Element x y z (fractional)
Ti (0.4999, 0.2468, 0.0001)
Ti (0.1640, 0.4127, 0.6710)
Ti (0.8360, 0.5873, 0.3290)
Ti (0.5001, 0.7532, 0.9999)
Ti (0.1640, 0.9164, 0.6709)
Ti (0.8360, 0.0836, 0.3291)
Pt (0.6672, 0.1683, 0.6635)
Pt (0.3328, 0.8317, 0.3365)
Pt (0.6648, 0.6665, 0.6669)
Pt (0.0000, 0.5000, 0.0000)
Pt (0.3352, 0.3335, 0.3331)
Ir (0.0000, 0.0000, 0.0000)

## Properties
For the total energy, the calculation gives -97.2 eV/cell. As for the space group: C2/m, No. 12.


LiSiNi2 after structural relaxation. Source: Alexandria, functional PBE.

Cell: 8.0105 8.0105 8.0105 Å, 19.03 19.03 19.03°
Element x y z (fractional)
Ni (0.5073, 0.5073, 0.5073)
Ni (0.9927, 0.9927, 0.9927)
Li (0.7500, 0.7500, 0.7500)
Si (0.2500, 0.2500, 0.2500)

## Properties
The value obtained for the raw formation energy is -0.163 eV per atom. For the total energy, the calculation gives -19.6 eV/cell. As for the space group: R-3m, No. 166.


Which formula does entry 3 have?
Zr3CdH


Number 3 is which compound?
Zr3CdH